1.
VASP calculation (PBE-GGA) on a relaxed Cu2SnAu8 crystal.

a = 6.9245 Å, b = 6.9245 Å, c = 4.3247 Å
α = 90.12°, β = 90.12°, γ = 105.22°
Last column: nearest neighbours and their distance in Å.
Element x y z (fractional)
Cu: 0.1132 0.8868 0.0000  1 Cu 2.49, 4 Au 2.59-2.73
Cu: 0.8868 0.1132 0.0000  1 Cu 2.49, 4 Au 2.59-2.73
Sn: 0.5000 0.5000 0.5000  12 Au 2.82-3.03
Au: 0.1643 0.1643 0.5001  7 Au 2.76-3.01, 1 Sn 2.82, 4 Cu 2.85-2.86
Au: 0.1863 0.4594 0.9998  1 Cu 2.73, 7 Au 2.78-3.00, 2 Sn 3.02-3.03
Au: 0.2434 0.7566 0.5000  2 Cu 2.59, 1 Sn 2.82
Au: 0.4594 0.1863 0.9998  1 Cu 2.73, 7 Au 2.78-3.00, 2 Sn 3.02-3.03
Au: 0.5406 0.8137 0.0002  1 Cu 2.73, 7 Au 2.78-3.00, 2 Sn 3.02-3.03
Au: 0.7566 0.2434 0.5000  2 Cu 2.59, 1 Sn 2.82
Au: 0.8137 0.5406 0.0002  1 Cu 2.73, 7 Au 2.78-3.00, 2 Sn 3.02-3.03
Au: 0.8357 0.8357 0.4999  7 Au 2.76-3.01, 1 Sn 2.82, 4 Cu 2.85-2.86

Summary:
* ΔH_f (0 K): 0.011 eV/atom
* calculated total energy: -3.481 eV per atom
* offset from the most stable computed form: 0.39 eV/f.u.
* size of the total moment: 0.00 μB per formula unit

2.
VASP calculation (PBE-GGA) on a relaxed Ta6ReTc5 crystal.

a = 7.8047 Å, b = 7.8047 Å, c = 7.8047 Å
α = 146.38°, β = 131.71°, γ = 60.12°
Last column: nearest neighbours and their distance in Å.
Element x y z (fractional)
Ta: 0.0830 0.3332 0.7498  7 Tc 2.76-2.77, 1 Re 2.76
Ta: 0.2496 0.0000 0.2496  6 Tc 2.76, 2 Re 2.77
Ta: 0.4166 0.6668 0.7498  7 Tc 2.76-2.77, 1 Re 2.76
Ta: 0.5834 0.3332 0.2502  7 Tc 2.76-2.77, 1 Re 2.76
Ta: 0.7504 0.0000 0.7504  6 Tc 2.76, 2 Re 2.77
Ta: 0.9170 0.6668 0.2502  7 Tc 2.76-2.77, 1 Re 2.76
Re: 0.5000 0.5000 0.0000  8 Ta 2.76-2.77
Tc: 0.0000 0.5000 0.5000  8 Ta 2.76
Tc: 0.1668 0.1668 0.0000  8 Ta 2.76
Tc: 0.3334 0.8334 0.5000  8 Ta 2.76-2.77
Tc: 0.6666 0.1666 0.5000  8 Ta 2.76-2.77
Tc: 0.8332 0.8332 0.0000  8 Ta 2.76

Summary:
* ΔH_f (0 K): -0.485 eV/atom
* calculated total energy: -11.768 eV per atom
* size of the total moment: 0.00 μB per formula unit

3.
VASP calculation (PBE-GGA) on a relaxed MnFeCo4 crystal.

a = 4.6523 Å, b = 4.6523 Å, c = 4.6523 Å
α = 60.00°, β = 60.00°, γ = 60.00°
Last column: nearest neighbours and their distance in Å.
Element x y z (fractional)
Mn: 0.0000 0.0000 0.0000  12 Co 2.73, 4 Fe 2.85
Fe: 0.2500 0.2500 0.2500  12 Co 2.73, 4 Mn 2.85
Co: 0.1246 0.6251 0.6251  6 Co 2.32-2.33
Co: 0.6251 0.1246 0.6251  6 Co 2.32-2.33
Co: 0.6251 0.6251 0.1246  6 Co 2.32-2.33
Co: 0.6251 0.6251 0.6251  6 Co 2.32-2.33

Summary:
* ΔH_f (0 K): 0.094 eV/atom
* calculated total energy: -7.582 eV per atom
* offset from the most stable computed form: 0.00 eV/f.u.
* size of the total moment: 12.48 μB per formula unit

4.
VASP calculation (PBE-GGA) on a relaxed In3Pb6Au crystal.

a = 10.7442 Å, b = 10.7442 Å, c = 6.4302 Å
α = 90.00°, β = 90.00°, γ = 127.61°
Last column: nearest neighbours and their distance in Å.
Element x y z (fractional)
In: 0.1168 0.8832 0.5000  1 Au 2.86
In: 0.1979 0.4556 0.7754  1 Au 2.88
In: 0.4556 0.1979 0.2754  1 Au 2.88
In: 0.5444 0.8021 0.7754  1 Au 2.88
In: 0.8021 0.5444 0.2754  1 Au 2.88
In: 0.8832 0.1168 0.0000  1 Au 2.86
Pb: 0.1104 0.5032 0.2558  2 Au 3.08-3.28, 1 In 3.36, 2 Pb 3.40
Pb: 0.1536 0.2157 0.4107  4 In 3.30-3.57, 7 Pb 3.39-3.65
Pb: 0.1771 0.8229 0.0224  1 Au 3.05, 1 In 3.28, 6 Pb 3.39-3.40
Pb: 0.2157 0.1536 0.9107  4 In 3.30-3.57, 7 Pb 3.39-3.65
Pb: 0.4618 0.5382 0.1595  8 Pb 3.40-3.65, 4 In 3.44-3.69
Pb: 0.4968 0.8896 0.2558  2 Au 3.08-3.28, 1 In 3.36, 2 Pb 3.40
Pb: 0.5032 0.1104 0.7558  2 Au 3.08-3.28, 1 In 3.36, 2 Pb 3.40
Pb: 0.5382 0.4618 0.6595  8 Pb 3.40-3.65, 4 In 3.44-3.69
Pb: 0.7843 0.8464 0.4107  4 In 3.30-3.57, 7 Pb 3.39-3.65
Pb: 0.8229 0.1771 0.5224  1 Au 3.05, 1 In 3.28, 6 Pb 3.39-3.40
Pb: 0.8464 0.7843 0.9107  4 In 3.30-3.57, 7 Pb 3.39-3.65
Pb: 0.8896 0.4968 0.7558  2 Au 3.08-3.28, 1 In 3.36, 2 Pb 3.40
Au: 0.2600 0.7400 0.6184  3 In 2.86-2.88, 3 Pb 3.05-3.08
Au: 0.7400 0.2600 0.1184  3 In 2.86-2.88, 3 Pb 3.05-3.08

Summary:
* ΔH_f (0 K): -0.002 eV/atom
* calculated total energy: -3.376 eV per atom
* size of the total moment: 0.00 μB per formula unit